Sm5ZnSi2 | PBE-GGA | relaxed

ΔE_f (raw): -471 meV/atom
magnetization: 0.000 μB/f.u.

The structure in CIF format:
```
data_Sm5ZnSi2
_space_group_name_H-M_alt 'I 4/m c m'
_space_group_IT_number 140
_space_group_name_Hall '-I 4 2c'
_cell_length_a 7.632
_cell_length_b 7.632
_cell_length_c 14.567
_cell_angle_alpha 90.00
_cell_angle_beta 90.00
_cell_angle_gamma 90.00
loop_
_atom_site_label
_atom_site_fract_x
_atom_site_fract_y
_atom_site_fract_z
_atom_site_occupancy
Sm1 0.000 0.000 0.000 1
Sm2 0.177 0.323 0.142 1
Zn1 0.000 0.000 0.250 1
Si1 0.117 0.383 0.500 1
```



Sm2ZnSi3 | PBE-GGA | relaxed

ΔE_f (raw): -665 meV/atom
relative energy among the computed polymorphs: 0.020 eV/atom
magnetization: 0.000 μB/f.u.

The structure in CIF format:
```
data_Sm2ZnSi3
_space_group_name_H-M_alt 'P m m 2'
_space_group_IT_number 25
_space_group_name_Hall 'P 2 -2'
_cell_length_a 4.120
_cell_length_b 4.140
_cell_length_c 7.045
_cell_angle_alpha 90.00
_cell_angle_beta 90.00
_cell_angle_gamma 90.00
loop_
_atom_site_label
_atom_site_fract_x
_atom_site_fract_y
_atom_site_fract_z
_atom_site_occupancy
Sm1 0.000 0.000 0.000 1
Sm2 0.500 0.000 0.486 1
Zn1 0.000 0.500 0.663 1
Si1 0.000 0.500 0.326 1
Si2 0.500 0.500 0.159 1
Si3 0.500 0.500 0.827 1
```